1.
Rb2CoPd2S4: relaxed, PBE.

Structure (CIF):
```
data_Rb2CoPd2S4
_space_group_name_H-M_alt 'F m m m'
_space_group_IT_number 69
_space_group_name_Hall '-F 2 2'
_cell_length_a 6.330
_cell_length_b 10.144
_cell_length_c 13.917
_cell_angle_alpha 90.00
_cell_angle_beta 90.00
_cell_angle_gamma 90.00
loop_
_atom_site_label
_atom_site_fract_x
_atom_site_fract_y
_atom_site_fract_z
Rb1 0.000 0.000 0.159
Co1 0.000 0.000 0.500
Pd1 0.250 0.250 0.000
S1 0.000 0.160 0.391
```

**Energy above the most stable polymorph in this dataset**: 0 meV/atom
**Electronic total energy**: -4.682 eV/atom


2.
TbHoSi2BW2: relaxed, PBE.

Structure (CIF):
```
data_TbHoSi2BW2
_space_group_name_H-M_alt 'C 1 m 1'
_space_group_IT_number 8
_cell_length_a 11.080
_cell_length_b 3.966
_cell_length_c 7.063
_cell_angle_alpha 90.00
_cell_angle_beta 124.60
_cell_angle_gamma 90.00
loop_
_space_group_symop_operation_xyz
'x,y,z'
'x,-y,z'
'x+1/2,y+1/2,z'
'x+1/2,-y+1/2,z'
loop_
_atom_site_label
_atom_site_fract_x
_atom_site_fract_y
_atom_site_fract_z
Tb1 0.000 0.000 0.000
Ho1 0.152 0.000 0.604
Si1 0.207 0.500 0.962
Si2 0.446 0.000 0.641
B1 0.077 0.500 0.305
W1 0.293 0.500 0.390
W2 0.360 0.000 0.215
```

**Electronic total energy**: -7.985 eV/atom